No. 1
A geometry-optimized ScNbN2O structure. Source: Alexandria via LeMat-Bulk, functional PBEsol.

a b c (Å): 3.8713 4.0466 4.0466
angles (deg): 90.00 90.00 90.00
Last column: nearest neighbours and their distance in Å.
Sites, in units of the cell vectors:
Sc  0.5000  0.5000  0.5000  8 N 2.80, 4 O 2.86
Nb  0.0000  0.0000  0.0000  2 O 1.94, 4 N 2.02
O  0.5000  0.0000  0.0000  2 Nb 1.94
N  0.0000  0.0000  0.5000  2 Nb 2.02
N  0.0000  0.5000  0.0000  2 Nb 2.02

N(E_F), states/eV/f.u.: 0.51
Total energy, eV per atom: -9.107
Volume, Å³ per atom: 12.7
Spin magnetization, μB/atom: 0.000
Formation energy (no corrections), meV per atom: -1161

No. 2
A geometry-optimized ZrGaAu structure. Source: Alexandria via LeMat-Bulk, functional PBEsol.

a b c (Å): 4.3238 4.3238 6.6718
angles (deg): 90.00 90.00 120.00
Last column: nearest neighbours and their distance in Å.
Sites, in units of the cell vectors:
Au  0.6667  0.3333  0.2855  3 Ga 2.54
Au  0.6667  0.3333  0.7145  3 Ga 2.54
Zr  0.0000  0.0000  0.5000  6 Au 2.88, 6 Ga 3.14
Zr  0.0000  0.0000  0.0000  6 Ga 2.88, 6 Au 3.14
Ga  0.3333  0.6667  0.7843  3 Au 2.54
Ga  0.3333  0.6667  0.2157  3 Au 2.54

Energy relative to the elements, eV/atom: -0.67
N(E_F), states/eV/f.u.: 0.98
Total energy, eV per atom: -6.122
Volume, Å³ per atom: 18.0
Spin magnetization, μB/atom: 0.000